DFT (GGA+U) results for a geometry-optimized NiSbPb2F structure.

DFT total energy (eV/atom): -2.8057
Space group: P4/mmm

Cell: 5.957 4.592 5.957 Å, 90.00 90.00 90.00°
Sites, in units of the cell vectors:
1 Pb 0.500 0.000 0.000
2 F 0.500 0.500 0.500
3 Sb 0.000 0.000 0.000
4 Ni 0.000 0.500 0.000
5 Pb 0.000 0.000 0.500